Record 1
# Tb2AlPd6

Crystalline Tb2AlPd6 at its relaxed geometry (GGA-PBE, Alexandria).

Computed properties:
The calculation puts the distance to the lowest polymorph of the same formula at 264 meV/atom.

Unit cell a=7.636 b=7.636 c=3.738 alpha=104.09 beta=104.09 gamma=58.98
Element x y z (fractional)
1 Tb 0.150 0.150 0.150
2 Tb 0.850 0.850 0.850
3 Al 0.500 0.500 0.500
4 Pd 0.128 0.542 0.336
5 Pd 0.285 0.715 0.000
6 Pd 0.458 0.872 0.664
7 Pd 0.542 0.128 0.336
8 Pd 0.715 0.285 0.000
9 Pd 0.872 0.458 0.664



Record 2
# TbAlPd3

Crystalline TbAlPd3 at its relaxed geometry (GGA-PBE, Alexandria).

Computed properties:
The value obtained for the uncorrected energy is -0.2016 hartree per atom.

Unit cell a=6.715 b=7.973 c=7.194 alpha=90.00 beta=90.00 gamma=90.00
Element x y z (fractional)
1 Tb 0.091 0.250 0.004
2 Tb 0.409 0.750 0.504
3 Tb 0.591 0.250 0.496
4 Tb 0.909 0.750 0.996
5 Al 0.000 0.000 0.500
6 Al 0.000 0.500 0.500
7 Al 0.500 0.000 0.000
8 Al 0.500 0.500 0.000
9 Pd 0.186 0.250 0.391
10 Pd 0.211 0.565 0.213
11 Pd 0.211 0.935 0.213
12 Pd 0.289 0.065 0.713
13 Pd 0.289 0.435 0.713
14 Pd 0.314 0.750 0.891
15 Pd 0.686 0.250 0.109
16 Pd 0.711 0.565 0.287
17 Pd 0.711 0.935 0.287
18 Pd 0.789 0.065 0.787
19 Pd 0.789 0.435 0.787
20 Pd 0.814 0.750 0.609



Record 3
# Tb4Al3Pd

Crystalline Tb4Al3Pd at its relaxed geometry (GGA-PBE, Alexandria).

Computed properties:
The calculation puts the distance to the lowest polymorph of the same formula at 14 meV/atom.

Unit cell a=3.763 b=4.489 c=11.522 alpha=90.00 beta=90.00 gamma=90.00
Element x y z (fractional)
1 Tb 0.000 0.000 0.000
2 Tb 0.000 0.500 0.283
3 Tb 0.500 0.000 0.479
4 Tb 0.500 0.500 0.795
5 Al 0.000 0.000 0.705
6 Al 0.000 0.500 0.570
7 Al 0.500 0.500 0.069
8 Pd 0.500 0.000 0.209



Record 4
# Tb5Al4Pd

Crystalline Tb5Al4Pd at its relaxed geometry (GGA-PBE, Alexandria).

Computed properties:
The value obtained for the uncorrected energy is -0.1772 hartree per atom.

Unit cell a=3.599 b=3.599 c=17.981 alpha=90.00 beta=90.00 gamma=90.00
Element x y z (fractional)
1 Tb 0.000 0.000 0.000
2 Tb 0.000 0.000 0.202
3 Tb 0.000 0.000 0.406
4 Tb 0.000 0.000 0.594
5 Tb 0.000 0.000 0.798
6 Al 0.500 0.500 0.101
7 Al 0.500 0.500 0.303
8 Al 0.500 0.500 0.697
9 Al 0.500 0.500 0.899
10 Pd 0.500 0.500 0.500



Record 5
# TbAlPd2

Crystalline TbAlPd2 at its relaxed geometry (GGA-PBE, Alexandria).

Computed properties:
The value obtained for the uncorrected energy is -0.2014 hartree per atom.

Unit cell a=3.330 b=3.330 c=6.579 alpha=90.00 beta=90.00 gamma=90.00
Element x y z (fractional)
1 Tb 0.000 0.000 0.000
2 Al 0.000 0.000 0.500
3 Pd 0.500 0.500 0.288
4 Pd 0.500 0.500 0.712



Record 6
# Tb4AlPd

Crystalline Tb4AlPd at its relaxed geometry (GGA-PBE, Alexandria).

Computed properties:
The calculation puts the distance to the lowest polymorph of the same formula at 101 meV/atom.

Unit cell a=8.188 b=8.188 c=5.818 alpha=102.99 beta=102.99 gamma=114.73
Element x y z (fractional)
1 Tb 0.065 0.693 0.918
2 Tb 0.220 0.364 0.677
3 Tb 0.307 0.935 0.582
4 Tb 0.364 0.220 0.177
5 Tb 0.636 0.780 0.823
6 Tb 0.693 0.065 0.418
7 Tb 0.780 0.636 0.323
8 Tb 0.935 0.307 0.082
9 Al 0.375 0.625 0.250
10 Al 0.625 0.375 0.750
11 Pd 0.000 0.000 0.250
12 Pd 0.000 0.000 0.750



Record 7
# TbAl2Pd9

Crystalline TbAl2Pd9 at its relaxed geometry (GGA-PBE, Alexandria).

Computed properties:
The value obtained for the uncorrected energy is -0.2053 hartree per atom.

Unit cell a=4.015 b=4.015 c=11.797 alpha=90.00 beta=90.00 gamma=90.00
Element x y z (fractional)
1 Tb 0.000 0.000 0.000
2 Al 0.000 0.000 0.343
3 Al 0.000 0.000 0.657
4 Pd 0.000 0.500 0.183
5 Pd 0.000 0.500 0.500
6 Pd 0.000 0.500 0.817
7 Pd 0.500 0.000 0.183
8 Pd 0.500 0.000 0.500
9 Pd 0.500 0.000 0.817
10 Pd 0.500 0.500 0.000
11 Pd 0.500 0.500 0.340
12 Pd 0.500 0.500 0.660



Record 8
# Tb4AlPd3

Crystalline Tb4AlPd3 at its relaxed geometry (GGA-PBE, Alexandria).

Computed properties:
The value obtained for the uncorrected energy is -0.2020 hartree per atom.

Unit cell a=3.802 b=4.504 c=10.899 alpha=90.00 beta=90.00 gamma=90.00
Element x y z (fractional)
1 Tb 0.000 0.000 0.000
2 Tb 0.000 0.500 0.269
3 Tb 0.500 0.000 0.483
4 Tb 0.500 0.500 0.779
5 Al 0.000 0.000 0.705
6 Pd 0.000 0.500 0.557
7 Pd 0.500 0.000 0.218
8 Pd 0.500 0.500 0.051



Record 9
# TbAlPd

Crystalline TbAlPd at its relaxed geometry (GGA-PBE, Alexandria).

Computed properties:
The value obtained for the uncorrected energy is -0.1910 hartree per atom.

Unit cell a=5.962 b=5.962 c=5.962 alpha=147.89 beta=147.89 gamma=46.05
Element x y z (fractional)
1 Tb 0.000 0.000 0.000
2 Al 0.299 0.299 0.000
3 Pd 0.688 0.688 0.000



Record 10
# Tb4AlPd2

Crystalline Tb4AlPd2 at its relaxed geometry (GGA-PBE, Alexandria).

Computed properties:
The value obtained for the uncorrected energy is -0.1900 hartree per atom.

Unit cell a=9.270 b=9.270 c=9.270 alpha=30.66 beta=30.66 gamma=30.66
Element x y z (fractional)
1 Tb 0.120 0.120 0.120
2 Tb 0.293 0.293 0.293
3 Tb 0.707 0.707 0.707
4 Tb 0.880 0.880 0.880
5 Al 0.500 0.500 0.500
6 Pd 0.404 0.404 0.404
7 Pd 0.596 0.596 0.596



Record 11
# Tb12AlPd6

Crystalline Tb12AlPd6 at its relaxed geometry (GGA-PBE, Alexandria).

Computed properties:
The calculation puts the distance to the lowest polymorph of the same formula at 116 meV/atom.

Unit cell a=8.696 b=8.696 c=8.696 alpha=108.79 beta=108.79 gamma=108.79
Element x y z (fractional)
1 Tb 0.057 0.354 0.121
2 Tb 0.121 0.057 0.354
3 Tb 0.178 0.468 0.638
4 Tb 0.354 0.121 0.057
5 Tb 0.362 0.822 0.532
6 Tb 0.468 0.638 0.178
7 Tb 0.532 0.362 0.822
8 Tb 0.638 0.178 0.468
9 Tb 0.646 0.879 0.943
10 Tb 0.822 0.532 0.362
11 Tb 0.879 0.943 0.646
12 Tb 0.943 0.646 0.879
13 Al 0.500 0.500 0.500
14 Pd 0.150 0.794 0.719
15 Pd 0.206 0.281 0.850
16 Pd 0.281 0.850 0.206
17 Pd 0.719 0.150 0.794
18 Pd 0.794 0.719 0.150
19 Pd 0.850 0.206 0.281



Record 12
# TbAl3Pd2

Crystalline TbAl3Pd2 at its relaxed geometry (GGA-PBE, Alexandria).

Computed properties:
The value obtained for the uncorrected energy is -0.1900 hartree per atom.

Unit cell a=8.582 b=8.582 c=10.019 alpha=107.92 beta=107.92 gamma=28.16
Element x y z (fractional)
1 Tb 0.000 0.000 0.000
2 Tb 0.158 0.158 0.705
3 Tb 0.842 0.842 0.295
4 Al 0.043 0.043 0.354
5 Al 0.214 0.214 0.390
6 Al 0.326 0.326 0.036
7 Al 0.372 0.372 0.800
8 Al 0.500 0.500 0.500
9 Al 0.628 0.628 0.200
10 Al 0.674 0.674 0.964
11 Al 0.786 0.786 0.610
12 Al 0.957 0.957 0.646
13 Pd 0.199 0.199 0.127
14 Pd 0.361 0.361 0.547
15 Pd 0.474 0.474 0.221
16 Pd 0.526 0.526 0.779
17 Pd 0.639 0.639 0.453
18 Pd 0.801 0.801 0.873



Record 13
# Tb2Al9Pd3

Crystalline Tb2Al9Pd3 at its relaxed geometry (GGA-PBE, Alexandria).

Computed properties:
The value obtained for the uncorrected energy is -0.1791 hartree per atom.

Unit cell a=7.687 b=7.687 c=10.469 alpha=111.46 beta=111.46 gamma=59.80
Element x y z (fractional)
1 Tb 0.085 0.253 0.250
2 Tb 0.253 0.085 0.750
3 Tb 0.747 0.915 0.250
4 Tb 0.915 0.747 0.750
5 Al 0.025 0.857 0.075
6 Al 0.143 0.975 0.425
7 Al 0.193 0.358 0.573
8 Al 0.212 0.582 0.252
9 Al 0.313 0.482 0.941
10 Al 0.358 0.193 0.073
11 Al 0.373 0.627 0.750
12 Al 0.418 0.788 0.248
13 Al 0.482 0.313 0.441
14 Al 0.518 0.687 0.559
15 Al 0.582 0.212 0.752
16 Al 0.627 0.373 0.250
17 Al 0.642 0.807 0.927
18 Al 0.687 0.518 0.059
19 Al 0.788 0.418 0.748
20 Al 0.807 0.642 0.427
21 Al 0.857 0.025 0.575
22 Al 0.975 0.143 0.925
23 Pd 0.000 0.500 0.000
24 Pd 0.157 0.672 0.500
25 Pd 0.328 0.843 0.000
26 Pd 0.500 0.000 0.500
27 Pd 0.672 0.157 0.000
28 Pd 0.843 0.328 0.500



Record 14
# TbAl3Pd2

Crystalline TbAl3Pd2 at its relaxed geometry (GGA-PBE, Alexandria).

Computed properties:
The value obtained for the uncorrected energy is -0.1889 hartree per atom.

Unit cell a=6.331 b=6.331 c=5.521 alpha=90.00 beta=90.00 gamma=80.77
Element x y z (fractional)
1 Tb 0.153 0.847 0.750
2 Tb 0.847 0.153 0.250
3 Al 0.051 0.609 0.250
4 Al 0.391 0.949 0.250
5 Al 0.467 0.533 0.250
6 Al 0.533 0.467 0.750
7 Al 0.609 0.051 0.750
8 Al 0.949 0.391 0.750
9 Pd 0.279 0.279 0.000
10 Pd 0.279 0.279 0.500
11 Pd 0.721 0.721 0.000
12 Pd 0.721 0.721 0.500



Record 15
# Tb2Al5Pd4

Crystalline Tb2Al5Pd4 at its relaxed geometry (GGA-PBE, Alexandria).

Computed properties:
The value obtained for the uncorrected energy is -0.1932 hartree per atom.

Unit cell a=9.366 b=8.576 c=5.376 alpha=80.82 beta=64.67 gamma=34.51
Element x y z (fractional)
1 Tb 0.125 0.125 0.875
2 Tb 0.875 0.875 0.125
3 Al 0.000 0.000 0.500
4 Al 0.250 0.250 0.250
5 Al 0.500 0.500 0.000
6 Al 0.500 0.500 0.500
7 Al 0.750 0.750 0.750
8 Pd 0.209 0.531 0.469
9 Pd 0.469 0.791 0.209
10 Pd 0.531 0.209 0.791
11 Pd 0.791 0.469 0.531



Record 16
# Tb2AlPd8

Crystalline Tb2AlPd8 at its relaxed geometry (GGA-PBE, Alexandria).

Computed properties:
The value obtained for the uncorrected energy is -0.2083 hartree per atom.

Unit cell a=8.003 b=8.003 c=5.969 alpha=111.76 beta=111.76 gamma=33.39
Element x y z (fractional)
1 Tb 0.190 0.190 0.190
2 Tb 0.810 0.810 0.810
3 Al 0.500 0.500 0.500
4 Pd 0.000 0.000 0.253
5 Pd 0.000 0.000 0.747
6 Pd 0.178 0.178 0.678
7 Pd 0.368 0.368 0.627
8 Pd 0.369 0.369 0.108
9 Pd 0.631 0.631 0.892
10 Pd 0.632 0.632 0.373
11 Pd 0.822 0.822 0.322



Record 17
# Tb4Al12Pd

Crystalline Tb4Al12Pd at its relaxed geometry (GGA-PBE, Alexandria).

Computed properties:
The value obtained for the uncorrected energy is -0.1682 hartree per atom.

Unit cell a=7.513 b=7.513 c=7.513 alpha=109.47 beta=109.47 gamma=109.47
Element x y z (fractional)
1 Tb 0.000 0.000 0.500
2 Tb 0.000 0.500 0.000
3 Tb 0.500 0.000 0.000
4 Tb 0.500 0.500 0.500
5 Al 0.000 0.293 0.293
6 Al 0.000 0.707 0.707
7 Al 0.250 0.500 0.750
8 Al 0.250 0.750 0.500
9 Al 0.293 0.000 0.293
10 Al 0.293 0.293 0.000
11 Al 0.500 0.250 0.750
12 Al 0.500 0.750 0.250
13 Al 0.707 0.000 0.707
14 Al 0.707 0.707 0.000
15 Al 0.750 0.250 0.500
16 Al 0.750 0.500 0.250
17 Pd 0.000 0.000 0.000



Record 18
# TbAl3Pd3

Crystalline TbAl3Pd3 at its relaxed geometry (GGA-PBE, Alexandria).

Computed properties:
The value obtained for the uncorrected energy is -0.1779 hartree per atom.

Unit cell a=6.731 b=6.731 c=6.731 alpha=90.00 beta=90.00 gamma=90.00
Element x y z (fractional)
1 Tb 0.000 0.000 0.000
2 Tb 0.500 0.500 0.500
3 Al 0.000 0.250 0.500
4 Al 0.000 0.750 0.500
5 Al 0.250 0.500 0.000
6 Al 0.500 0.000 0.250
7 Al 0.500 0.000 0.750
8 Al 0.750 0.500 0.000
9 Pd 0.000 0.500 0.250
10 Pd 0.000 0.500 0.750
11 Pd 0.250 0.000 0.500
12 Pd 0.500 0.250 0.000
13 Pd 0.500 0.750 0.000
14 Pd 0.750 0.000 0.500



Record 19
# TbAl2Pd5

Crystalline TbAl2Pd5 at its relaxed geometry (GGA-PBE, Alexandria).

Computed properties:
The value obtained for the uncorrected energy is -0.2036 hartree per atom.

Unit cell a=6.504 b=6.504 c=6.504 alpha=145.45 beta=114.73 gamma=76.00
Element x y z (fractional)
1 Tb 0.000 0.000 0.000
2 Al 0.262 0.762 0.500
3 Al 0.738 0.238 0.500
4 Pd 0.155 0.359 0.796
5 Pd 0.438 0.641 0.796
6 Pd 0.500 0.000 0.500
7 Pd 0.562 0.359 0.204
8 Pd 0.845 0.641 0.204



Record 20
# Tb3AlPd3

Crystalline Tb3AlPd3 at its relaxed geometry (GGA-PBE, Alexandria).

Computed properties:
The value obtained for the uncorrected energy is -0.2056 hartree per atom.

Unit cell a=5.615 b=5.615 c=14.354 alpha=90.00 beta=90.00 gamma=137.31
Element x y z (fractional)
1 Tb 0.012 0.988 0.750
2 Tb 0.290 0.710 0.604
3 Tb 0.290 0.710 0.896
4 Tb 0.710 0.290 0.104
5 Tb 0.710 0.290 0.396
6 Tb 0.988 0.012 0.250
7 Al 0.000 0.000 0.000
8 Al 0.000 0.000 0.500
9 Pd 0.266 0.734 0.250
10 Pd 0.424 0.576 0.091
11 Pd 0.424 0.576 0.409
12 Pd 0.576 0.424 0.591
13 Pd 0.576 0.424 0.909
14 Pd 0.734 0.266 0.750